[1]
! NaFe3F (PBE+U, optimized geometry); values from VASP
! Total magnetization in μB per atom: 1.978
! Density in g/cm³: 3.85
! E_tot in eV/cell: -16.87
&SYSTEM
  ibrav = 0, nat = 5, ntyp = 3
/
ATOMIC_SPECIES
Na 22.99 Na.upf
Fe 55.84 Fe.upf
F 19.00 F.upf
CELL_PARAMETERS angstrom
4.486 0.000 0.000
0.000 4.486 0.000
0.000 0.000 4.486
ATOMIC_POSITIONS crystal
Na 0.000 0.000 0.000
Fe 0.000 0.500 0.500
Fe 0.500 0.000 0.500
Fe 0.500 0.500 0.000
F 0.500 0.500 0.500

---

[2]
! NaFe4F12 (PBE+U, optimized geometry); values from VASP
! Total magnetization in μB per atom: 1.118
! Density in g/cm³: 3.36
! E_tot in eV/cell: -88.51
&SYSTEM
  ibrav = 0, nat = 17, ntyp = 3
/
ATOMIC_SPECIES
Na 22.99 Na.upf
Fe 55.84 Fe.upf
F 19.00 F.upf
CELL_PARAMETERS angstrom
-3.911 3.911 3.834
3.911 -3.911 3.834
3.911 3.911 -3.834
ATOMIC_POSITIONS crystal
Na 0.000 0.000 0.000
Fe 0.000 0.000 0.500
Fe 0.000 0.500 0.000
Fe 0.500 0.000 0.000
Fe 0.500 0.500 0.500
F 0.048 0.801 0.247
F 0.199 0.446 0.247
F 0.199 0.952 0.753
F 0.291 0.291 0.582
F 0.291 0.709 0.000
F 0.446 0.199 0.247
F 0.554 0.801 0.753
F 0.709 0.291 0.000
F 0.709 0.709 0.418
F 0.801 0.048 0.247
F 0.801 0.554 0.753
F 0.952 0.199 0.753

---

[3]
! NaFeF5 (PBE+U, optimized geometry); values from VASP
! Total magnetization in μB per atom: 0.571
! Density in g/cm³: 2.83
! E_tot in eV/cell: -63.94
&SYSTEM
  ibrav = 0, nat = 14, ntyp = 3
/
ATOMIC_SPECIES
Na 22.99 Na.upf
Fe 55.84 Fe.upf
F 19.00 F.upf
CELL_PARAMETERS angstrom
4.561 -3.181 0.000
4.561 3.181 0.000
-3.457 0.000 7.025
ATOMIC_POSITIONS crystal
Na 0.044 0.956 0.750
Na 0.956 0.044 0.250
Fe 0.500 0.500 0.000
Fe 0.500 0.500 0.500
F 0.200 0.763 0.030
F 0.237 0.800 0.470
F 0.257 0.306 0.384
F 0.306 0.257 0.884
F 0.425 0.575 0.750
F 0.575 0.425 0.250
F 0.694 0.743 0.116
F 0.743 0.694 0.616
F 0.763 0.200 0.530
F 0.800 0.237 0.970

---

[4]
! NaFeF4 (PBE+U, optimized geometry); values from VASP
! Total magnetization in μB per atom: 0.833
! Density in g/cm³: 3.15
! E_tot in eV/cell: -59.66
&SYSTEM
  ibrav = 0, nat = 12, ntyp = 3
/
ATOMIC_SPECIES
Na 22.99 Na.upf
Fe 55.84 Fe.upf
F 19.00 F.upf
CELL_PARAMETERS angstrom
5.463 0.000 0.000
0.000 5.693 0.000
0.000 0.000 5.242
ATOMIC_POSITIONS crystal
Na 0.000 0.056 0.000
Na 0.500 0.944 0.500
Fe 0.000 0.501 0.459
Fe 0.500 0.499 0.959
F 0.000 0.205 0.615
F 0.000 0.797 0.304
F 0.245 0.376 0.203
F 0.255 0.624 0.703
F 0.500 0.203 0.804
F 0.500 0.795 0.115
F 0.745 0.624 0.703
F 0.755 0.376 0.203

---

[5]
! NaFe2F6 (PBE+U, optimized geometry); values from VASP
! Total magnetization in μB per atom: 1.000
! Density in g/cm³: 3.48
! E_tot in eV/cell: -92.15
&SYSTEM
  ibrav = 0, nat = 18, ntyp = 3
/
ATOMIC_SPECIES
Na 22.99 Na.upf
Fe 55.84 Fe.upf
F 19.00 F.upf
CELL_PARAMETERS angstrom
4.774 0.000 0.000
0.000 5.507 0.000
0.000 0.000 9.019
ATOMIC_POSITIONS crystal
Na 0.000 0.000 0.000
Na 0.500 0.500 0.500
Fe 0.000 0.500 0.181
Fe 0.000 0.500 0.819
Fe 0.500 0.000 0.319
Fe 0.500 0.000 0.681
F 0.203 0.360 0.000
F 0.245 0.812 0.185
F 0.245 0.812 0.815
F 0.255 0.312 0.315
F 0.255 0.312 0.685
F 0.297 0.860 0.500
F 0.703 0.140 0.500
F 0.745 0.688 0.315
F 0.745 0.688 0.685
F 0.755 0.188 0.185
F 0.755 0.188 0.815
F 0.797 0.640 0.000

---

[6]
! Na3FeF8 (PBE+U, optimized geometry); values from VASP
! Total magnetization in μB per atom: 0.585
! Density in g/cm³: 3.01
! E_tot in eV/cell: -49.91
&SYSTEM
  ibrav = 0, nat = 12, ntyp = 3
/
ATOMIC_SPECIES
Na 22.99 Na.upf
Fe 55.84 Fe.upf
F 19.00 F.upf
CELL_PARAMETERS angstrom
5.347 0.000 0.000
0.000 5.347 0.000
0.000 0.000 5.347
ATOMIC_POSITIONS crystal
Na 0.000 0.000 0.500
Na 0.000 0.500 0.000
Na 0.500 0.000 0.000
Fe 0.500 0.500 0.500
F 0.274 0.274 0.274
F 0.274 0.274 0.726
F 0.274 0.726 0.274
F 0.274 0.726 0.726
F 0.726 0.274 0.274
F 0.726 0.274 0.726
F 0.726 0.726 0.274
F 0.726 0.726 0.726

---

[7]
! NaFe2F2 (PBE+U, optimized geometry); values from VASP
! Total magnetization in μB per atom: 1.400
! Density in g/cm³: 3.80
! E_tot in eV/cell: -19.86
&SYSTEM
  ibrav = 0, nat = 5, ntyp = 3
/
ATOMIC_SPECIES
Na 22.99 Na.upf
Fe 55.84 Fe.upf
F 19.00 F.upf
CELL_PARAMETERS angstrom
-2.028 2.028 4.590
2.028 -2.028 4.590
2.028 2.028 -4.590
ATOMIC_POSITIONS crystal
Na 0.000 0.000 0.000
Fe 0.379 0.379 0.000
Fe 0.621 0.621 0.000
F 0.250 0.750 0.500
F 0.750 0.250 0.500

---

[8]
! Na6FeF8 (PBE+U, optimized geometry); values from VASP
! Total magnetization in μB per atom: 0.267
! Density in g/cm³: 2.79
! E_tot in eV/cell: -67.31
&SYSTEM
  ibrav = 0, nat = 15, ntyp = 3
/
ATOMIC_SPECIES
Na 22.99 Na.upf
Fe 55.84 Fe.upf
F 19.00 F.upf
CELL_PARAMETERS angstrom
0.000 4.686 4.686
4.686 0.000 4.686
4.686 4.686 0.000
ATOMIC_POSITIONS crystal
Na 0.000 0.000 0.500
Na 0.000 0.500 0.000
Na 0.000 0.500 0.500
Na 0.500 0.000 0.000
Na 0.500 0.000 0.500
Na 0.500 0.500 0.000
Fe 0.000 0.000 0.000
F 0.224 0.224 0.776
F 0.224 0.776 0.224
F 0.224 0.776 0.776
F 0.250 0.250 0.250
F 0.750 0.750 0.750
F 0.776 0.224 0.224
F 0.776 0.224 0.776
F 0.776 0.776 0.224

---

[9]
! NaFe2F (PBE+U, optimized geometry); values from VASP
! Total magnetization in μB per atom: 1.516
! Density in g/cm³: 3.80
! E_tot in eV/cell: -12.81
&SYSTEM
  ibrav = 0, nat = 4, ntyp = 3
/
ATOMIC_SPECIES
Na 22.99 Na.upf
Fe 55.84 Fe.upf
F 19.00 F.upf
CELL_PARAMETERS angstrom
0.000 3.226 3.226
3.226 0.000 3.226
3.226 3.226 0.000
ATOMIC_POSITIONS crystal
Na 0.000 0.000 0.000
Fe 0.250 0.250 0.250
Fe 0.750 0.750 0.750
F 0.500 0.500 0.500

---

[10]
! Na2Fe2F7 (PBE+U, optimized geometry); values from VASP
! Total magnetization in μB per atom: 0.818
! Density in g/cm³: 3.22
! E_tot in eV/cell: -111.27
&SYSTEM
  ibrav = 0, nat = 22, ntyp = 3
/
ATOMIC_SPECIES
Na 22.99 Na.upf
Fe 55.84 Fe.upf
F 19.00 F.upf
CELL_PARAMETERS angstrom
-3.664 5.331 3.834
3.664 -5.331 3.834
3.664 5.331 -3.834
ATOMIC_POSITIONS crystal
Na 0.249 0.000 0.249
Na 0.748 0.498 0.750
Na 0.748 0.998 0.250
Na 0.751 0.000 0.751
Fe 0.249 0.500 0.750
Fe 0.250 0.500 0.250
Fe 0.250 0.999 0.750
Fe 0.750 0.500 0.250
F 0.139 0.139 0.000
F 0.194 0.360 0.437
F 0.194 0.756 0.833
F 0.305 0.243 0.667
F 0.305 0.639 0.062
F 0.361 0.861 0.500
F 0.567 0.730 0.837
F 0.576 0.243 0.938
F 0.576 0.639 0.333
F 0.606 0.269 0.337
F 0.893 0.730 0.163
F 0.923 0.360 0.167
F 0.923 0.756 0.563
F 0.932 0.269 0.663

---

[11]
! Na2FeNiF6 (PBE+U, optimized geometry); values from VASP
! Total magnetization in μB per atom: 0.600
! Density in g/cm³: 3.66
! E_tot in eV/cell: -47.05
&SYSTEM
  ibrav = 0, nat = 10, ntyp = 4
/
ATOMIC_SPECIES
Na 22.99 Na.upf
Fe 55.84 Fe.upf
Ni 58.69 Ni.upf
F 19.00 F.upf
CELL_PARAMETERS angstrom
5.565 0.000 0.000
-2.766 4.838 0.000
-2.657 -1.679 4.631
ATOMIC_POSITIONS crystal
Na 0.029 0.280 0.250
Na 0.971 0.720 0.750
Fe 0.500 0.000 0.500
Ni 0.500 0.500 0.000
F 0.011 0.317 0.821
F 0.382 0.131 0.752
F 0.489 0.675 0.687
F 0.511 0.325 0.313
F 0.618 0.869 0.248
F 0.989 0.683 0.179

---

[12]
! Na2FeNi3F12 (PBE+U, optimized geometry); values from VASP
! Total magnetization in μB per atom: 0.444
! Density in g/cm³: 3.24
! E_tot in eV/cell: -76.92
&SYSTEM
  ibrav = 0, nat = 18, ntyp = 4
/
ATOMIC_SPECIES
Na 22.99 Na.upf
Fe 55.84 Fe.upf
Ni 58.69 Ni.upf
F 19.00 F.upf
CELL_PARAMETERS angstrom
3.512 2.028 6.061
-3.512 2.028 6.061
0.000 -4.055 6.061
ATOMIC_POSITIONS crystal
Na 0.084 0.084 0.084
Na 0.916 0.916 0.916
Fe 0.500 0.500 0.500
Ni 0.000 0.500 0.500
Ni 0.500 0.000 0.500
Ni 0.500 0.500 0.000
F 0.158 0.158 0.587
F 0.158 0.587 0.158
F 0.195 0.567 0.567
F 0.413 0.842 0.842
F 0.433 0.433 0.805
F 0.433 0.805 0.433
F 0.567 0.195 0.567
F 0.567 0.567 0.195
F 0.587 0.158 0.158
F 0.805 0.433 0.433
F 0.842 0.413 0.842
F 0.842 0.842 0.413

---

[13]
! NaFe2NiF8 (PBE+U, optimized geometry); values from VASP
! Total magnetization in μB per atom: 0.917
! Density in g/cm³: 3.82
! E_tot in eV/cell: -59.24
&SYSTEM
  ibrav = 0, nat = 12, ntyp = 4
/
ATOMIC_SPECIES
Na 22.99 Na.upf
Fe 55.84 Fe.upf
Ni 58.69 Ni.upf
F 19.00 F.upf
CELL_PARAMETERS angstrom
4.860 0.000 0.000
0.000 6.359 0.000
-0.171 0.000 4.863
ATOMIC_POSITIONS crystal
Na 0.000 0.000 0.000
Fe 0.500 0.257 0.500
Fe 0.500 0.743 0.500
Ni 0.000 0.500 0.000
F 0.210 0.275 0.208
F 0.210 0.725 0.208
F 0.298 0.500 0.700
F 0.322 0.000 0.676
F 0.678 0.000 0.324
F 0.702 0.500 0.300
F 0.790 0.275 0.792
F 0.790 0.725 0.792

---

[14]
! NaFeNiF6 (PBE+U, optimized geometry); values from VASP
! Total magnetization in μB per atom: 0.772
! Density in g/cm³: 3.52
! E_tot in eV/cell: -85.92
&SYSTEM
  ibrav = 0, nat = 18, ntyp = 4
/
ATOMIC_SPECIES
Na 22.99 Na.upf
Fe 55.84 Fe.upf
Ni 58.69 Ni.upf
F 19.00 F.upf
CELL_PARAMETERS angstrom
5.275 0.000 0.000
-2.638 4.569 0.000
0.000 0.000 9.834
ATOMIC_POSITIONS crystal
Na 0.000 0.000 0.000
Na 0.000 0.000 0.500
Fe 0.333 0.667 0.250
Fe 0.667 0.333 0.750
Ni 0.333 0.667 0.750
Ni 0.667 0.333 0.250
F 0.010 0.367 0.141
F 0.010 0.643 0.359
F 0.357 0.367 0.359
F 0.357 0.990 0.141
F 0.367 0.010 0.641
F 0.367 0.357 0.859
F 0.633 0.643 0.141
F 0.633 0.990 0.359
F 0.643 0.010 0.859
F 0.643 0.633 0.641
F 0.990 0.357 0.641
F 0.990 0.633 0.859

---

[15]
! NaFeO2F (PBE+U, optimized geometry); values from VASP
! Total magnetization in μB per atom: 0.897
! Density in g/cm³: 3.65
! E_tot in eV/cell: -26.66
&SYSTEM
  ibrav = 0, nat = 5, ntyp = 4
/
ATOMIC_SPECIES
Na 22.99 Na.upf
Fe 55.84 Fe.upf
O 16.00 O.upf
F 19.00 F.upf
CELL_PARAMETERS angstrom
3.757 0.000 0.000
0.000 3.757 0.000
0.000 0.000 4.185
ATOMIC_POSITIONS crystal
Na 0.000 0.000 0.000
Fe 0.500 0.500 0.500
O 0.000 0.500 0.500
O 0.500 0.000 0.500
F 0.500 0.500 0.000

---

[16]
! NaFeO2F (PBE+U, optimized geometry); values from VASP
! Total magnetization in μB per atom: 0.702
! Density in g/cm³: 3.46
! E_tot in eV/cell: -19.01
&SYSTEM
  ibrav = 0, nat = 5, ntyp = 4
/
ATOMIC_SPECIES
Na 22.99 Na.upf
Fe 55.84 Fe.upf
O 16.00 O.upf
F 19.00 F.upf
CELL_PARAMETERS angstrom
4.017 0.000 0.000
0.000 4.017 0.000
0.000 0.000 3.856
ATOMIC_POSITIONS crystal
Na 0.000 0.000 0.000
Fe 0.500 0.500 0.500
O 0.000 0.500 0.000
O 0.500 0.000 0.000
F 0.000 0.000 0.500

---

[17]
! Na8Fe6P6O24F9 (PBE+U, optimized geometry); values from VASP
! Total magnetization in μB per atom: 0.110
! Density in g/cm³: 3.16
! E_tot in eV/cell: -321.60
&SYSTEM
  ibrav = 0, nat = 53, ntyp = 5
/
ATOMIC_SPECIES
Na 22.99 Na.upf
Fe 55.84 Fe.upf
P 30.97 P.upf
O 16.00 O.upf
F 19.00 F.upf
CELL_PARAMETERS angstrom
10.534 -4.500 0.000
10.534 4.500 0.000
-1.076 0.000 6.972
ATOMIC_POSITIONS crystal
Na 0.066 0.066 0.368
Na 0.111 0.533 0.862
Na 0.414 0.414 0.670
Na 0.467 0.889 0.138
Na 0.533 0.111 0.862
Na 0.586 0.586 0.330
Na 0.889 0.467 0.138
Na 0.934 0.934 0.632
Fe 0.105 0.105 0.923
Fe 0.229 0.229 0.411
Fe 0.440 0.440 0.251
Fe 0.560 0.560 0.749
Fe 0.771 0.771 0.589
Fe 0.895 0.895 0.077
P 0.085 0.585 0.332
P 0.251 0.749 0.000
P 0.415 0.915 0.668
P 0.585 0.085 0.332
P 0.749 0.251 0.000
P 0.915 0.415 0.668
O 0.007 0.316 0.849
O 0.013 0.321 0.487
O 0.094 0.783 0.946
O 0.111 0.432 0.283
O 0.217 0.906 0.054
O 0.246 0.542 0.380
O 0.316 0.007 0.849
O 0.321 0.013 0.487
O 0.347 0.648 0.179
O 0.352 0.653 0.821
O 0.432 0.111 0.283
O 0.458 0.754 0.620
O 0.542 0.246 0.380
O 0.568 0.889 0.717
O 0.648 0.347 0.179
O 0.653 0.352 0.821
O 0.679 0.987 0.513
O 0.684 0.993 0.151
O 0.754 0.458 0.620
O 0.783 0.094 0.946
O 0.889 0.568 0.717
O 0.906 0.217 0.054
O 0.987 0.679 0.513
O 0.993 0.684 0.151
F 0.046 0.046 0.693
F 0.165 0.165 0.167
F 0.293 0.293 0.645
F 0.383 0.383 0.005
F 0.500 0.500 0.500
F 0.617 0.617 0.995
F 0.707 0.707 0.355
F 0.835 0.835 0.833
F 0.954 0.954 0.307

---

[18]
! NaFeSO4F (PBE+U, optimized geometry); values from VASP
! Total magnetization in μB per atom: 0.500
! Density in g/cm³: 3.21
! E_tot in eV/cell: -94.71
&SYSTEM
  ibrav = 0, nat = 16, ntyp = 5
/
ATOMIC_SPECIES
Na 22.99 Na.upf
Fe 55.84 Fe.upf
S 32.06 S.upf
O 16.00 O.upf
F 19.00 F.upf
CELL_PARAMETERS angstrom
3.385 -4.396 0.000
3.385 4.396 0.000
-2.943 0.000 6.738
ATOMIC_POSITIONS crystal
Na 0.162 0.838 0.750
Na 0.838 0.162 0.250
Fe 0.500 0.500 0.000
Fe 0.500 0.500 0.500
S 0.181 0.819 0.250
S 0.819 0.181 0.750
O 0.082 0.243 0.899
O 0.172 0.615 0.352
O 0.243 0.082 0.399
O 0.385 0.828 0.148
O 0.615 0.172 0.852
O 0.757 0.918 0.601
O 0.828 0.385 0.648
O 0.918 0.757 0.101
F 0.413 0.587 0.750
F 0.587 0.413 0.250